Compound: Sm6IrOs2Br3
Source: Alexandria
Functional: GGA-PBE
Structure: optimized geometry

The structure in CIF format:
```
data_Sm6IrOs2Br3
_chemical_formula_sum 'Sm12 Ir2 Os4 Br6'
_cell_length_a 7.0862
_cell_length_b 12.2762
_cell_length_c 8.0936
_cell_angle_alpha 90.00
_cell_angle_beta 106.99
_cell_angle_gamma 90.00
_space_group_name_H-M_alt 'C 1 2/m 1'
_space_group_IT_number 12
loop_
_space_group_symop_operation_xyz
'x,y,z'
'-x,-y,-z'
'-x,y,-z'
'x,-y,z'
'x+1/2,y+1/2,z'
'-x+1/2,-y+1/2,-z'
'-x+1/2,y+1/2,-z'
'x+1/2,-y+1/2,z'
loop_
_atom_site_label
_atom_site_fract_x
_atom_site_fract_y
_atom_site_fract_z
Sm1 0.2276 0.0000 0.1955
Sm2 0.2341 0.3312 0.1958
Ir1 0.0000 0.5000 0.0000
Os1 0.0000 0.1667 0.0000
Br1 0.0000 0.0000 0.5000
Br2 0.0000 0.3319 0.5000
```

=====

Compound: VIrOs2Br
Source: Alexandria
Functional: GGA-PBE
Structure: optimized geometry

The structure in CIF format:
```
data_VIrOs2Br
_chemical_formula_sum 'V1 Ir1 Os2 Br1'
_cell_length_a 4.5194
_cell_length_b 4.5194
_cell_length_c 4.5602
_cell_angle_alpha 90.00
_cell_angle_beta 90.00
_cell_angle_gamma 90.00
_space_group_name_H-M_alt 'P 4/m m m'
_space_group_IT_number 123
_space_group_name_Hall '-P 4 2'
loop_
_atom_site_label
_atom_site_fract_x
_atom_site_fract_y
_atom_site_fract_z
V1 0.0000 0.0000 0.0000
Ir1 0.5000 0.5000 0.0000
Os1 0.0000 0.5000 0.5000
Br1 0.5000 0.5000 0.5000
```

=====

Compound: P2IrBr
Source: Alexandria
Functional: GGA-PBE
Structure: optimized geometry

The structure in CIF format:
```
data_P2IrBr
_chemical_formula_sum 'P4 Ir2 Br2'
_cell_length_a 2.9185
_cell_length_b 4.7951
_cell_length_c 10.3619
_cell_angle_alpha 90.00
_cell_angle_beta 90.00
_cell_angle_gamma 90.00
_space_group_name_H-M_alt 'I m m m'
_space_group_IT_number 71
_space_group_name_Hall '-I 2 2'
loop_
_atom_site_label
_atom_site_fract_x
_atom_site_fract_y
_atom_site_fract_z
P1 0.0000 0.0000 0.1917
Ir1 0.0000 0.5000 0.5000
Br1 0.0000 0.5000 0.0000
```

ΔE to the lowest computed polymorph   0.780 eV per atom

=====

Compound: P2IrBr
Source: Alexandria
Functional: GGA-PBE
Structure: optimized geometry

The structure in CIF format:
```
data_P2IrBr
_chemical_formula_sum 'P2 Ir1 Br1'
_cell_length_a 4.6732
_cell_length_b 4.6732
_cell_length_c 2.9171
_cell_angle_alpha 90.00
_cell_angle_beta 90.00
_cell_angle_gamma 90.00
_space_group_name_H-M_alt 'P 4/m m m'
_space_group_IT_number 123
_space_group_name_Hall '-P 4 2'
loop_
_atom_site_label
_atom_site_fract_x
_atom_site_fract_y
_atom_site_fract_z
P1 0.0000 0.5000 0.0000
Ir1 0.0000 0.0000 0.5000
Br1 0.5000 0.5000 0.5000
```

ΔE to the lowest computed polymorph   1.117 eV per atom

=====

Compound: PIr2Br
Source: Alexandria
Functional: GGA-PBE
Structure: optimized geometry

The structure in CIF format:
```
data_PIr2Br
_chemical_formula_sum 'P3 Ir6 Br3'
_cell_length_a 2.9990
_cell_length_b 2.9990
_cell_length_c 25.3303
_cell_angle_alpha 90.00
_cell_angle_beta 90.00
_cell_angle_gamma 120.00
_space_group_name_H-M_alt 'R -3 m'
_space_group_IT_number 166
_space_group_name_Hall '-R 3 2"'
loop_
_atom_site_label
_atom_site_fract_x
_atom_site_fract_y
_atom_site_fract_z
P1 0.0000 0.0000 0.0000
Ir1 0.0000 0.0000 0.2696
Br1 0.0000 0.0000 0.5000
```

ΔE to the lowest computed polymorph   0.109 eV per atom

=====

Compound: P2IrBr
Source: Alexandria
Functional: GGA-PBE
Structure: optimized geometry

The structure in CIF format:
```
data_P2IrBr
_chemical_formula_sum 'P4 Ir2 Br2'
_cell_length_a 2.7843
_cell_length_b 5.0346
_cell_length_c 12.0207
_cell_angle_alpha 90.00
_cell_angle_beta 90.00
_cell_angle_gamma 90.00
_space_group_name_H-M_alt 'C m m m'
_space_group_IT_number 65
_space_group_name_Hall '-C 2 2'
loop_
_atom_site_label
_atom_site_fract_x
_atom_site_fract_y
_atom_site_fract_z
P1 0.0000 0.0000 0.1685
Ir1 0.0000 0.5000 0.0000
Br1 0.0000 0.5000 0.5000
```

ΔE to the lowest computed polymorph   0.610 eV per atom

=====

Compound: PIr2Br
Source: Alexandria
Functional: GGA-PBE
Structure: optimized geometry

The structure in CIF format:
```
data_PIr2Br
_chemical_formula_sum 'P1 Ir2 Br1'
_cell_length_a 2.9488
_cell_length_b 3.1596
_cell_length_c 7.1982
_cell_angle_alpha 90.00
_cell_angle_beta 94.05
_cell_angle_gamma 90.00
_space_group_name_H-M_alt 'P 1 2/m 1'
_space_group_IT_number 10
loop_
_space_group_symop_operation_xyz
'x,y,z'
'-x,-y,-z'
'-x,y,-z'
'x,-y,z'
loop_
_atom_site_label
_atom_site_fract_x
_atom_site_fract_y
_atom_site_fract_z
P1 0.0000 0.0000 0.0000
Ir1 0.4321 0.5000 0.1817
Br1 0.5000 0.0000 0.5000
```

ΔE to the lowest computed polymorph   0.158 eV per atom

=====

Compound: PIr2Br
Source: Alexandria
Functional: GGA-PBE
Structure: optimized geometry

The structure in CIF format:
```
data_PIr2Br
_chemical_formula_sum 'P4 Ir8 Br4'
_cell_length_a 6.2832
_cell_length_b 6.2832
_cell_length_c 6.2832
_cell_angle_alpha 90.00
_cell_angle_beta 90.00
_cell_angle_gamma 90.00
_space_group_name_H-M_alt 'F m -3 m'
_space_group_IT_number 225
_space_group_name_Hall '-F 4 2 3'
loop_
_atom_site_label
_atom_site_fract_x
_atom_site_fract_y
_atom_site_fract_z
P1 0.0000 0.0000 0.0000
Ir1 0.2500 0.2500 0.2500
Br1 0.0000 0.0000 0.5000
```

ΔE to the lowest computed polymorph   0.734 eV per atom

=====

Compound: P2IrBr
Source: Alexandria
Functional: GGA-PBE
Structure: optimized geometry

The structure in CIF format:
```
data_P2IrBr
_chemical_formula_sum 'P2 Ir1 Br1'
_cell_length_a 4.8545
_cell_length_b 3.7205
_cell_length_c 5.3712
_cell_angle_alpha 90.00
_cell_angle_beta 95.44
_cell_angle_gamma 90.00
_space_group_name_H-M_alt 'P 1 2/m 1'
_space_group_IT_number 10
loop_
_space_group_symop_operation_xyz
'x,y,z'
'-x,-y,-z'
'-x,y,-z'
'x,-y,z'
loop_
_atom_site_label
_atom_site_fract_x
_atom_site_fract_y
_atom_site_fract_z
P1 0.2066 0.0000 0.4765
Ir1 0.5000 0.5000 0.5000
Br1 0.5000 0.5000 0.0000
```

ΔE to the lowest computed polymorph   0.204 eV per atom

=====

Compound: PIr2Br
Source: Alexandria
Functional: GGA-PBE
Structure: optimized geometry

The structure in CIF format:
```
data_PIr2Br
_chemical_formula_sum 'P4 Ir8 Br4'
_cell_length_a 6.3765
_cell_length_b 6.3765
_cell_length_c 6.3765
_cell_angle_alpha 90.00
_cell_angle_beta 90.00
_cell_angle_gamma 90.00
_space_group_name_H-M_alt 'F -4 3 m'
_space_group_IT_number 216
_space_group_name_Hall 'F -4 2 3'
loop_
_atom_site_label
_atom_site_fract_x
_atom_site_fract_y
_atom_site_fract_z
P1 0.0000 0.0000 0.0000
Ir1 0.0000 0.0000 0.5000
Ir2 0.2500 0.2500 0.7500
Br1 0.2500 0.2500 0.2500
```

ΔE to the lowest computed polymorph   0.972 eV per atom

=====

Compound: PIr2Br
Source: Alexandria
Functional: GGA-PBE
Structure: optimized geometry

The structure in CIF format:
```
data_PIr2Br
_chemical_formula_sum 'P2 Ir4 Br2'
_cell_length_a 2.8215
_cell_length_b 5.1767
_cell_length_c 10.0217
_cell_angle_alpha 90.00
_cell_angle_beta 90.00
_cell_angle_gamma 90.00
_space_group_name_H-M_alt 'C m m 2'
_space_group_IT_number 35
loop_
_space_group_symop_operation_xyz
'x,y,z'
'-x,-y,z'
'-x,y,z'
'x,-y,z'
'x+1/2,y+1/2,z'
'-x+1/2,-y+1/2,z'
'-x+1/2,y+1/2,z'
'x+1/2,-y+1/2,z'
loop_
_atom_site_label
_atom_site_fract_x
_atom_site_fract_y
_atom_site_fract_z
P1 0.0000 0.0000 0.0000
Ir1 0.0000 0.0000 0.5798
Ir2 0.0000 0.5000 0.8126
Br1 0.0000 0.5000 0.3608
```

ΔE to the lowest computed polymorph   0.472 eV per atom

=====

Compound: PIrBr
Source: Alexandria
Functional: GGA-PBE
Structure: optimized geometry

The structure in CIF format:
```
data_PIrBr
_chemical_formula_sum 'P2 Ir2 Br2'
_cell_length_a 2.9517
_cell_length_b 2.9517
_cell_length_c 14.3021
_cell_angle_alpha 90.00
_cell_angle_beta 90.00
_cell_angle_gamma 90.00
_space_group_name_H-M_alt 'I 4 m m'
_space_group_IT_number 107
_space_group_name_Hall 'I 4 -2'
loop_
_atom_site_label
_atom_site_fract_x
_atom_site_fract_y
_atom_site_fract_z
P1 0.0000 0.0000 0.0000
Ir1 0.0000 0.0000 0.5814
Br1 0.0000 0.0000 0.2720
```

ΔE to the lowest computed polymorph   0.373 eV per atom

=====

| no. | raw formation energy (meV per atom) |
| --- | --- |
| 1 | -795 |
| 2 | 2336 |
| 3 | 573 |
| 4 | 910 |
| 5 | 236 |
| 6 | 403 |
| 7 | 286 |
| 8 | 861 |
| 9 | -3 |
| 10 | 1099 |
| 11 | 599 |
| 12 | 222 |